Record 1
Density functional theory data (PBE) for a relaxed RbBeH2Rh crystal.

```
data_RbBeH2Rh
_space_group_name_H-M_alt 'P 1'
_space_group_IT_number 1
_space_group_name_Hall 'P 1'
_cell_length_a 3.8716
_cell_length_b 5.6686
_cell_length_c 3.8716
_cell_angle_alpha 90.00
_cell_angle_beta 90.00
_cell_angle_gamma 90.00
loop_
_atom_site_label
_atom_site_type_symbol
_atom_site_fract_x
_atom_site_fract_y
_atom_site_fract_z
H1 H 0.5000 0.0000 0.0000
H2 H 0.0000 0.0000 0.5000
Rb1 Rb 0.0000 0.5000 0.0000
Rh1 Rh 0.0000 0.0000 0.0000
Be1 Be 0.5000 0.5000 0.5000
```

Computed properties:
For the total energy, the calculation gives -2.5500 eV/atom. As for the symmetry: No. 123.



Record 2
Density functional theory data (PBE) for a relaxed Rb2BeHSe2 crystal.

```
data_Rb2BeHSe2
_space_group_name_H-M_alt 'P 1'
_space_group_IT_number 1
_space_group_name_Hall 'P 1'
_cell_length_a 5.6030
_cell_length_b 10.4061
_cell_length_c 8.6807
_cell_angle_alpha 126.83
_cell_angle_beta 108.83
_cell_angle_gamma 90.00
loop_
_atom_site_label
_atom_site_type_symbol
_atom_site_fract_x
_atom_site_fract_y
_atom_site_fract_z
Rb1 Rb 0.6246 0.9426 0.2491
Rb2 Rb 0.1246 0.3065 0.2491
Rb3 Rb 0.8754 0.6935 0.7509
Rb4 Rb 0.3754 0.0574 0.7509
Se1 Se 0.6017 0.4860 0.2034
Se2 Se 0.1017 0.7174 0.2034
Se3 Se 0.8983 0.2826 0.7966
Se4 Se 0.3983 0.5140 0.7966
H1 H 0.2500 0.0000 0.0000
H2 H 0.7500 0.0000 0.0000
Be1 Be 0.7500 0.5000 0.0000
Be2 Be 0.2500 0.5000 0.0000
```

Computed properties:
For the total energy, the calculation gives -3.2029 eV/atom. As for the symmetry: No. 72.



Record 3
Density functional theory data (PBE) for a relaxed RbBeSnH6 crystal.

```
data_RbBeSnH6
_space_group_name_H-M_alt 'P 1'
_space_group_IT_number 1
_space_group_name_Hall 'P 1'
_cell_length_a 5.0284
_cell_length_b 5.0284
_cell_length_c 5.8264
_cell_angle_alpha 90.00
_cell_angle_beta 90.00
_cell_angle_gamma 60.00
loop_
_atom_site_label
_atom_site_type_symbol
_atom_site_fract_x
_atom_site_fract_y
_atom_site_fract_z
H1 H 0.5953 0.0562 0.3388
H2 H 0.0562 0.3484 0.3388
H3 H 0.0562 0.5954 0.6612
H4 H 0.5953 0.3484 0.6612
H5 H 0.3484 0.5954 0.3388
H6 H 0.3484 0.0562 0.6612
Rb1 Rb 0.0000 0.0000 0.0000
Be1 Be 0.3333 0.3333 0.5000
Sn1 Sn 0.6666 0.6667 0.5000
```

Computed properties:
For the total energy, the calculation gives -3.0056 eV/atom. As for the symmetry: No. 149.



Record 4
Density functional theory data (PBE) for a relaxed Rb2BeTe2H crystal.

```
data_Rb2BeTe2H
_space_group_name_H-M_alt 'P 1'
_space_group_IT_number 1
_space_group_name_Hall 'P 1'
_cell_length_a 6.7529
_cell_length_b 7.6171
_cell_length_c 8.7710
_cell_angle_alpha 115.74
_cell_angle_beta 112.64
_cell_angle_gamma 90.00
loop_
_atom_site_label
_atom_site_type_symbol
_atom_site_fract_x
_atom_site_fract_y
_atom_site_fract_z
Te1 Te 0.0932 0.7647 0.1863
Te2 Te 0.9068 0.2353 0.8137
Te3 Te 0.4068 0.5784 0.8137
Te4 Te 0.5932 0.4216 0.1863
Rb1 Rb 0.3623 0.0201 0.7246
Rb2 Rb 0.6377 0.9799 0.2754
Rb3 Rb 0.8623 0.7045 0.7246
Rb4 Rb 0.1377 0.2955 0.2754
H1 H 0.2500 0.0000 0.0000
H2 H 0.7500 0.0000 0.0000
Be1 Be 0.2500 0.5000 0.0000
Be2 Be 0.7500 0.5000 0.0000
```

Computed properties:
For the total energy, the calculation gives -2.8922 eV/atom. As for the symmetry: No. 72.



Record 5
Density functional theory data (PBE) for a relaxed BeReH2 crystal.

```
data_BeReH2
_space_group_name_H-M_alt 'P 1'
_space_group_IT_number 1
_space_group_name_Hall 'P 1'
_cell_length_a 3.9434
_cell_length_b 3.9434
_cell_length_c 4.7926
_cell_angle_alpha 65.71
_cell_angle_beta 65.71
_cell_angle_gamma 90.00
loop_
_atom_site_label
_atom_site_type_symbol
_atom_site_fract_x
_atom_site_fract_y
_atom_site_fract_z
H1 H 0.1757 0.6250 0.2500
H2 H 0.3750 0.4257 0.7500
H3 H 0.8750 0.8243 0.7500
H4 H 0.5743 0.1250 0.2500
Be1 Be 0.2500 0.7500 0.5000
Be2 Be 0.5000 0.5000 0.0000
Re1 Re 0.7500 0.2500 0.5000
Re2 Re 0.0000 0.0000 0.0000
```

Computed properties:
For the total energy, the calculation gives -5.3481 eV/atom. The calculation puts the offset from the most stable computed form at 0 meV per atom. As for the symmetry: No. 122.



Record 6
Density functional theory data (PBE) for a relaxed BeRe3H crystal.

```
data_BeRe3H
_space_group_name_H-M_alt 'P 1'
_space_group_IT_number 1
_space_group_name_Hall 'P 1'
_cell_length_a 3.8767
_cell_length_b 3.8767
_cell_length_c 3.8767
_cell_angle_alpha 90.00
_cell_angle_beta 90.00
_cell_angle_gamma 90.00
loop_
_atom_site_label
_atom_site_type_symbol
_atom_site_fract_x
_atom_site_fract_y
_atom_site_fract_z
H1 H 0.0000 0.0000 0.0000
Re1 Re 0.5000 0.0000 0.0000
Re2 Re 0.0000 0.0000 0.5000
Re3 Re 0.0000 0.5000 0.0000
Be1 Be 0.5000 0.5000 0.5000
```

Computed properties:
For the total energy, the calculation gives -8.4563 eV/atom. The calculation puts the offset from the most stable computed form at 0 meV per atom. As for the symmetry: No. 221.